Density functional theory data (PBE) for a geometry-optimized Mg4TaCu structure.

Lattice parameters (Å, degrees): 5.506 5.506 5.506 60.00 60.00 60.00
Sites, in units of the cell vectors:
1 Mg 0.376 0.376 0.376
2 Mg 0.376 0.376 0.873
3 Mg 0.376 0.873 0.376
4 Mg 0.873 0.376 0.376
5 Ta 0.750 0.750 0.750
6 Cu 0.000 0.000 0.000

Symmetry: No. 216
Energy of formation from the pure elements: 373 kJ/mol of formula units
Spin magnetization: 1.8 Bohr magnetons per cell

=====

Density functional theory data (PBE) for a geometry-optimized Ba2Ag structure.

Lattice parameters (Å, degrees): 7.817 8.149 4.907 90.00 90.00 90.00
Sites, in units of the cell vectors:
1 Ba 0.243 0.167 0.000
2 Ba 0.257 0.667 0.500
3 Ba 0.743 0.333 0.500
4 Ba 0.757 0.833 0.000
5 Ag 0.000 0.000 0.500
6 Ag 0.500 0.500 0.000

Symmetry: No. 58
Energy of formation from the pure elements: -40 kJ/mol of formula units
Energy relative to the lowest polymorph listed for this composition: 40 meV/atom
Spin magnetization: 0.0 Bohr magnetons per cell

=====

Density functional theory data (PBE) for a geometry-optimized BeH structure.

Lattice parameters (Å, degrees): 2.148 11.379 3.991 90.00 90.00 90.00
Sites, in units of the cell vectors:
1 Be 0.250 0.149 0.141
2 Be 0.250 0.351 0.141
3 Be 0.250 0.750 0.247
4 Be 0.750 0.250 0.753
5 Be 0.750 0.649 0.859
6 Be 0.750 0.851 0.859
7 H 0.250 0.250 0.433
8 H 0.250 0.576 0.739
9 H 0.250 0.924 0.739
10 H 0.750 0.076 0.261
11 H 0.750 0.424 0.261
12 H 0.750 0.750 0.567

Symmetry: No. 59
Energy relative to the lowest polymorph listed for this composition: 89 meV/atom
Spin magnetization: 0.0 Bohr magnetons per cell

=====

Density functional theory data (PBE) for a geometry-optimized LaZrF3 structure.

Lattice parameters (Å, degrees): 4.765 4.765 4.765 90.00 90.00 90.00
Sites, in units of the cell vectors:
1 La 0.000 0.000 0.000
2 Zr 0.500 0.500 0.500
3 F 0.000 0.000 0.500
4 F 0.000 0.500 0.000
5 F 0.500 0.000 0.000

Symmetry: No. 221
Uncorrected formation energy: -2.11 eV/atom
Energy relative to the lowest polymorph listed for this composition: 18 meV/atom
Spin magnetization: 3.6 Bohr magnetons per cell